12
Lattice="3.8389 0.0000 0.0173 1.9195 5.7512 0.0087 -0.0316 0.0000 7.2223" Properties=species:S:1:pos:R:3 comment="CrFe2Ir3 GGA-PBE relaxed" e_tot_ev_per_atom=-8.9727 dos_at_fermi_per_ev_cell=13.5 pbc="T T T"
Cr 1.9195 1.8420 0.0087
Cr 3.8389 3.9092 0.0173
Fe -0.0158 0.0000 3.6111
Fe 3.8231 3.7809 3.6285
Fe 0.0000 0.0000 0.0000
Fe 1.9037 1.9703 3.6198
Ir 1.8969 0.0000 5.4373
Ir 3.8163 1.9126 5.4900
Ir 1.9105 0.0000 1.8023
Ir 1.9106 3.8386 1.7583
Ir 3.8300 1.9126 1.7670
Ir 1.8968 3.8386 5.4813

4
Lattice="4.6099 -0.0046 0.0087 3.8230 2.5759 0.0087 0.8134 0.2480 4.4590" Properties=species:S:1:pos:R:3 comment="CrFeIr2 GGA-PBE relaxed" e_tot_ev_per_atom=-9.0187 dos_at_fermi_per_ev_cell=4.8 pbc="T T T"
Ir 2.3098 0.7043 1.1704
Ir 0.8168 0.2491 4.3943
Cr 4.6144 1.4070 2.2518
Fe 6.9417 2.1166 3.3572

11
Lattice="-2.9527 -0.4206 -2.3802 3.5377 1.5085 -4.6551 2.0111 -6.6147 1.7328" Properties=species:S:1:pos:R:3 comment="Cr2FeIr8 GGA-PBE relaxed" e_tot_ev_per_atom=-9.0883 dos_at_fermi_per_ev_cell=10.3 pbc="T T T"
Ir 1.9217 -1.3278 -5.2079
Ir 1.7634 -3.8988 -4.5573
Ir 0.2470 -0.8529 -3.2144
Ir 0.8327 -1.6280 -0.7453
Ir 2.6302 0.4842 -3.3483
Ir 2.3491 -4.6739 -2.0881
Ir 0.6744 -4.1990 -0.0946
Ir -0.0340 -6.0110 -1.9542
Cr 0.0744 -3.3741 -2.5547
Cr 2.5217 -2.1527 -2.7478
Fe -1.4763 -0.2103 -1.1901